No. 1
Compound: LiLaIr2
Source: the Alexandria database
Functional: GGA-PBE
Structure: optimized geometry Values from VASP.

```
&SYSTEM
  ibrav = 0, nat = 4, ntyp = 3
/
ATOMIC_SPECIES
Li 6.94 Li.upf
La 138.91 La.upf
Ir 192.22 Ir.upf
ATOMIC_POSITIONS crystal
Li 0.0000 0.0000 0.0000
La 0.7951 0.7951 0.2255
Ir 0.2667 0.2667 0.6708
Ir 0.5523 0.5523 0.6395
CELL_PARAMETERS angstrom
5.2471 -1.5494 0.0000
5.2471 1.5494 0.0000
-2.4091 0.0000 4.5414
```

Computed properties:
Final energy = -6.33 eV/atom
Total magnetic moment = 0.0 μB per formula unit



No. 2
Compound: LiLaIr2
Source: the Alexandria database
Functional: GGA-PBE
Structure: optimized geometry Values from VASP.

```
&SYSTEM
  ibrav = 0, nat = 4, ntyp = 3
/
ATOMIC_SPECIES
Li 6.94 Li.upf
La 138.91 La.upf
Ir 192.22 Ir.upf
ATOMIC_POSITIONS crystal
Li 0.0000 0.0000 0.0000
La 0.5000 0.5000 0.5000
Ir 0.2584 0.2584 0.2584
Ir 0.7416 0.7416 0.7416
CELL_PARAMETERS angstrom
1.4716 0.8496 9.2469
-1.4716 0.8496 9.2469
0.0000 -1.6992 9.2469
```

Computed properties:
Final energy = -5.95 eV/atom
Total magnetic moment = 0.7 μB per formula unit